Entry 1:
# TaNiOs2Br PBE relaxed
data_TaNiOs2Br
_cell_length_a 4.597
_cell_length_b 4.597
_cell_length_c 4.189
_cell_angle_alpha 90.00
_cell_angle_beta 90.00
_cell_angle_gamma 90.00
_space_group_name_H-M_alt 'P 4/m m m'
_space_group_IT_number 123
_space_group_name_Hall '-P 4 2'
loop_
_atom_site_label
_atom_site_fract_x
_atom_site_fract_y
_atom_site_fract_z
Ta1 0.000 0.000 0.000
Ni1 0.500 0.500 0.000
Os1 0.000 0.500 0.500
Br1 0.500 0.500 0.500
# Calculated total energy in eV per cell: -32.523
# E_form (uncorrected) in meV per atom: 1849

---

Entry 2:
# Tl3Cd PBE relaxed
data_Tl3Cd
_cell_length_a 7.413
_cell_length_b 9.647
_cell_length_c 6.646
_cell_angle_alpha 90.00
_cell_angle_beta 90.00
_cell_angle_gamma 90.00
_space_group_name_H-M_alt 'P n m a'
_space_group_IT_number 62
_space_group_name_Hall '-P 2ac 2n'
loop_
_atom_site_label
_atom_site_fract_x
_atom_site_fract_y
_atom_site_fract_z
Tl1 0.009 0.250 0.060
Tl2 0.209 0.522 0.305
Cd1 0.058 0.250 0.541
# Calculated total energy in eV per cell: -31.290
# Formation energy in eV per atom: 0.0478

---

Entry 3:
# LiCa2Y PBE relaxed
data_LiCa2Y
_cell_length_a 3.6940
_cell_length_b 3.6940
_cell_length_c 35.0705
_cell_angle_alpha 90.00
_cell_angle_beta 90.00
_cell_angle_gamma 120.00
_space_group_name_H-M_alt 'R 3 m'
_space_group_IT_number 160
_space_group_name_Hall 'R 3 -2"'
loop_
_atom_site_label
_atom_site_fract_x
_atom_site_fract_y
_atom_site_fract_z
Li1 0.0000 0.0000 0.0000
Ca1 0.0000 0.0000 0.2543
Ca2 0.0000 0.0000 0.4950
Y1 0.0000 0.0000 0.7414
# Calculated total energy in eV per cell: -35.513
# Relative energy among the computed polymorphs in meV/atom: 41
# Formation energy in eV per atom: 0.1359

---

Entry 4:
# NiAs2W2 PBE relaxed
data_NiAs2W2
_cell_length_a 3.554
_cell_length_b 3.554
_cell_length_c 12.951
_cell_angle_alpha 90.00
_cell_angle_beta 90.00
_cell_angle_gamma 90.00
_space_group_name_H-M_alt 'I 4/m m m'
_space_group_IT_number 139
_space_group_name_Hall '-I 4 2'
loop_
_atom_site_label
_atom_site_fract_x
_atom_site_fract_y
_atom_site_fract_z
Ni1 0.000 0.000 0.000
As1 0.000 0.500 0.250
W1 0.000 0.000 0.403
# Calculated total energy in eV per cell: -75.857
# Formation energy in eV per atom: 0.6117

---

- Number 1 is which compound?
  TaNiOs2Br

---

- Which value of calculated total energy does entry 2 give?
  -31.290 eV per cell

---

- Which of these has the lowest calculated total energy?
  NiAs2W2